# 1
# PrCdCuGe

A geometry-optimized PrCdCuGe structure (GGA-PBE, the Alexandria database).

Calculated values
DFT total energy = -15.4 eV per formula unit
total magnetization = 0.00 μB per atom
formation energy from the elements = -1.03 eV/f.u.

Lattice parameters (Å, degrees): 6.9806 6.9806 6.9806 90.00 90.00 90.00
With the nearest neighbours (Å) after each atom.
Space group F-43m (No. 216)
Inequivalent atoms, fractional coordinates:
Pr1 0.0000 0.0000 0.0000  4 Ge 3.02, 4 Cu 3.02
Cd1 0.0000 0.0000 0.5000  4 Ge 3.02, 4 Cu 3.02
Cu1 0.2500 0.2500 0.7500  4 Cd 3.02, 4 Pr 3.02
Ge1 0.2500 0.2500 0.2500  4 Cd 3.02, 4 Pr 3.02

=====

# 2
# TePHF

A geometry-optimized TePHF structure (GGA-PBE, the Alexandria database).

Calculated values
DFT total energy = -15.3 eV per formula unit
polymorph energy (0 for the lowest one) = 233 meV per atom
total magnetization = 0.00 μB per atom

Lattice parameters (Å, degrees): 4.5910 2.9476 5.6520 90.00 90.85 90.00
With the nearest neighbours (Å) after each atom.
Space group Pm (No. 6)
Inequivalent atoms, fractional coordinates:
Te1 0.0000 0.0000 0.0000  1 F 2.16
P1 0.9452 0.0000 0.4620  1 H 1.43
H1 0.2568 0.0000 0.4807  1 P 1.43
F1 0.5298 0.0000 0.0011  1 Te 2.16

=====

# 3
# SbMoSe2

A geometry-optimized SbMoSe2 structure (GGA-PBE, the Alexandria database).

Calculated values
DFT total energy = -19.7 eV per formula unit
total magnetization = 0.68 μB per atom
formation energy without anion corrections = 0.54 eV/atom

Lattice parameters (Å, degrees): 3.6209 4.2066 5.8945 90.00 90.00 90.00
With the nearest neighbours (Å) after each atom.
Space group Pmmm (No. 47)
Inequivalent atoms, fractional coordinates:
Sb1 0.0000 0.0000 0.0000  4 Se 2.78
Mo1 0.5000 0.0000 0.5000  4 Se 2.78
Se1 0.0000 0.5000 0.5000  4 Mo 2.78
Se2 0.5000 0.5000 0.0000  4 Sb 2.78